## K3NdPu2Se6 (GGA-PBE)

Data for crystalline K3NdPu2Se6 at its relaxed geometry.

Cell lengths 7.460, 7.460, 8.056 Å; angles 98.88, 98.88, 120.00 degrees
Fractional positions:
K1 0.166 0.834 0.500
K2 0.500 0.500 0.500
K3 0.834 0.166 0.500
Se1 0.931 0.592 0.793
Se2 0.270 0.270 0.793
Se3 0.408 0.069 0.207
Se4 0.069 0.408 0.207
Se5 0.592 0.931 0.793
Se6 0.730 0.730 0.207
Pu1 0.333 0.667 0.000
Pu2 0.667 0.333 0.000
Nd1 0.000 0.000 0.000

Values from the calculation:
**Space group**: C2/m
**Total energy**: -6.357 eV per atom
**Formation energy (no corrections)**: -1555 meV per atom